# 1
Here is a relaxed HoMg9Rh2 crystal from Alexandria via LeMat-Bulk. Energies are from PBE-GGA.

a = 7.513 Å, b = 8.969 Å, c = 8.969 Å
α = 79.90°, β = 65.24°, γ = 65.24°
Fractional positions:
Mg (0.000, 0.000, 0.000)
Mg (0.063, 0.319, 0.924)
Mg (0.306, 0.076, 0.681)
Rh (0.875, 0.250, 0.750)
Mg (0.687, 0.181, 0.576)
Mg (0.444, 0.424, 0.819)
Mg (0.687, 0.576, 0.181)
Rh (0.375, 0.750, 0.750)
Mg (0.013, 0.681, 0.924)
Rh (0.875, 0.750, 0.250)
Ho (0.250, 0.500, 0.500)
Mg (0.306, 0.681, 0.076)
Mg (0.737, 0.819, 0.576)
Mg (0.013, 0.924, 0.681)
Rh (0.875, 0.250, 0.250)
Mg (0.618, 0.076, 0.319)
Mg (0.737, 0.576, 0.819)
Mg (0.618, 0.319, 0.076)
Mg (0.444, 0.819, 0.424)
Mg (0.063, 0.924, 0.319)
Mg (0.750, 0.500, 0.500)
Mg (0.132, 0.181, 0.424)
Ho (0.500, 0.000, 0.000)
Mg (0.132, 0.424, 0.181)

The value obtained for the density of states at the Fermi level is 8.0 states/eV/f.u. As for the energy: -3.00 eV/atom. Its formation energy is -0.19 eV per atom.

=====

# 2
Here is a relaxed LiOs2Pb crystal from Alexandria via LeMat-Bulk. Energies are from PBE-GGA.

a = 3.277 Å, b = 3.277 Å, c = 5.986 Å
α = 90.00°, β = 90.00°, γ = 90.00°
Fractional positions:
Os (0.000, 0.000, 0.545)
Os (0.000, 0.000, 0.955)
Pb (0.500, 0.500, 0.250)
Li (0.500, 0.500, 0.750)

The value obtained for the density of states at the Fermi level is 3.8 states/eV/f.u. As for the energy: -6.15 eV/atom. Its formation energy is 0.87 eV per atom.

=====

# 3
Here is a relaxed PtAuBr2 crystal from Alexandria via LeMat-Bulk. Energies are from PBE-GGA.

a = 5.254 Å, b = 5.254 Å, c = 6.795 Å
α = 71.98°, β = 71.98°, γ = 42.52°
Last column: magnetic moment on the atom in μB.
Fractional positions:
Br (0.018, 0.018, 0.121)  0.12
Au (0.206, 0.206, 0.299)  0.00
Br (0.840, 0.840, 0.669)  0.17
Pt (0.436, 0.436, 0.410)  0.51

The uncorrected formation energy comes out at 0.18 eV/atom. The value obtained for the density of states at the Fermi level is 1.1 states/eV/f.u. As for the energy: -2.98 eV/atom. As for the energy above the most stable polymorph in this dataset: 0.1571 eV per atom.

=====

# 4
Here is a relaxed La3TmSc3Te8 crystal from Alexandria via LeMat-Bulk. Energies are from PBE-GGA.

a = 8.636 Å, b = 8.636 Å, c = 8.783 Å
α = 119.45°, β = 90.00°, γ = 120.00°
Fractional positions:
La (0.500, 0.500, 0.000)
Te (0.260, 0.520, 0.280)
Sc (0.500, 0.500, 0.500)
La (0.000, 0.000, 0.000)
Sc (0.000, 0.500, 0.500)
Te (0.251, 0.502, 0.731)
Te (0.729, 0.980, 0.731)
Te (0.748, 0.020, 0.269)
Te (0.749, 0.498, 0.269)
Te (0.271, 0.020, 0.269)
Te (0.252, 0.980, 0.731)
La (0.000, 0.500, 0.000)
Sc (0.500, 0.000, 0.500)
Te (0.740, 0.480, 0.720)
Tm (0.000, 0.000, 0.500)

The uncorrected formation energy comes out at -1.38 eV/atom. The value obtained for the density of states at the Fermi level is 8.5 states/eV/f.u. As for the energy: -5.60 eV/atom.

=====

# 5
Here is a relaxed HfNi2Se crystal from Alexandria via LeMat-Bulk. Energies are from PBE-GGA.

a = 3.776 Å, b = 3.776 Å, c = 9.267 Å
α = 78.24°, β = 78.24°, γ = 90.00°
Fractional positions:
Hf (0.750, 0.250, 0.500)
Se (0.250, 0.750, 0.500)
Ni (0.875, 0.864, 0.750)
Ni (0.136, 0.625, 0.250)
Hf (0.000, 0.000, 0.000)
Ni (0.375, 0.386, 0.750)
Se (0.500, 0.500, 0.000)
Ni (0.614, 0.125, 0.250)

The uncorrected formation energy comes out at -0.19 eV/atom. The value obtained for the density of states at the Fermi level is 2.1 states/eV/f.u. As for the energy: -6.44 eV/atom.